1.
This record from OQMD describes a relaxed PmLuBi crystal. The functional is PBE.

Output
- crystal system = cubic
- energy above the most stable polymorph in this dataset (kJ per mole of atoms) = 0.0

a = 5.182 Å, b = 5.182 Å, c = 5.182 Å
α = 60.00°, β = 60.00°, γ = 60.00°
Sites, in units of the cell vectors:
Bi 0.000 0.000 0.000
Lu 0.250 0.250 0.250
Pm 0.750 0.750 0.750



2.
This record from OQMD describes a relaxed TmThCu crystal. The functional is PBE.

Output
- formation energy from the elements (kJ/mol of atoms) = 15.2
- crystal system = cubic
- energy above the most stable polymorph in this dataset (kJ per mole of atoms) = 0.0

a = 4.841 Å, b = 4.841 Å, c = 4.841 Å
α = 60.00°, β = 60.00°, γ = 60.00°
Sites, in units of the cell vectors:
Cu 0.000 0.000 0.000
Th 0.250 0.250 0.250
Tm 0.750 0.750 0.750



Question: Which value of energy above the most stable polymorph in this dataset does entry 2 give?
Answer: 0.0 kJ per mole of atoms